DFT (PBE) results for Rb2SnCl4F2 after structural relaxation.

Volume   498.1 Å³/cell
Density of states at the Fermi level   0.00 states/eV/f.u.
Total magnetic moment   0.00 μB per formula unit
E_form (uncorrected)   -1.88 eV per atom

Lattice parameters (Å, degrees): 11.695 7.238 6.118 90.00 105.87 90.00
Space group C2/m (No. 12)
One atom of each set of equivalent atoms:
Rb1 0.182 0.000 0.305 (multiplicity 4)
Sn1 0.000 0.500 0.000 (multiplicity 2)
Cl1 0.086 0.257 0.813 (multiplicity 8)
F1 0.149 0.500 0.264 (multiplicity 4)